one) A geometry-optimized Li2TbCu9 structure. Source: Alexandria, functional PBE.

a = 8.6189 Å, b = 8.6189 Å, c = 8.6189 Å
α = 33.48°, β = 33.48°, γ = 33.48°
Last column: nearest neighbours and their distance in Å.
Fractional positions:
Li (0.1479, 0.1479, 0.1479)  12 Cu 2.84-2.92, 3 Li 3.01
Li (0.8521, 0.8521, 0.8521)  12 Cu 2.84-2.92, 3 Li 3.01
Tb (0.0000, 0.0000, 0.0000)  6 Cu 2.87
Cu (0.0835, 0.5854, 0.5854)  7 Cu 2.46-2.53
Cu (0.3326, 0.3326, 0.3326)  6 Cu 2.50-2.53
Cu (0.4146, 0.4146, 0.9165)  7 Cu 2.46-2.53
Cu (0.4146, 0.9165, 0.4146)  7 Cu 2.46-2.53
Cu (0.5000, 0.5000, 0.5000)  6 Cu 2.46
Cu (0.5854, 0.0835, 0.5854)  7 Cu 2.46-2.53
Cu (0.5854, 0.5854, 0.0835)  7 Cu 2.46-2.53
Cu (0.6674, 0.6674, 0.6674)  6 Cu 2.50-2.53
Cu (0.9165, 0.4146, 0.4146)  7 Cu 2.46-2.53

## Properties
space group = R-3m (166)
total moment = 0.0 μB per formula unit



two) A geometry-optimized Li2TbCu9 structure. Source: Alexandria, functional PBE.

a = 8.3059 Å, b = 8.3059 Å, c = 4.9120 Å
α = 90.00°, β = 90.00°, γ = 90.00°
Last column: nearest neighbours and their distance in Å.
Fractional positions:
Li (0.1139, 0.3861, 0.0000)  1 Li 2.68, 12 Cu 2.69-2.90
Li (0.3861, 0.8861, 0.0000)  1 Li 2.68, 12 Cu 2.69-2.90
Li (0.6139, 0.1139, 0.0000)  1 Li 2.68, 12 Cu 2.69-2.90
Li (0.8861, 0.6139, 0.0000)  1 Li 2.68, 12 Cu 2.69-2.90
Tb (0.0000, 0.0000, 0.0000)  16 Cu 3.05-3.27, 4 Li 3.34
Tb (0.5000, 0.5000, 0.0000)  16 Cu 3.05-3.27, 4 Li 3.34
Cu (0.0000, 0.5000, 0.5000)  8 Cu 2.47-2.48
Cu (0.0607, 0.2089, 0.5000)  8 Cu 2.47-2.71
Cu (0.1813, 0.6813, 0.2425)  7 Cu 2.38-2.54
Cu (0.1813, 0.6813, 0.7575)  7 Cu 2.38-2.54
Cu (0.2089, 0.9393, 0.5000)  8 Cu 2.47-2.71
Cu (0.2911, 0.4393, 0.5000)  8 Cu 2.47-2.71
Cu (0.3187, 0.1813, 0.2425)  7 Cu 2.38-2.54
Cu (0.3187, 0.1813, 0.7575)  7 Cu 2.38-2.54
Cu (0.4393, 0.7089, 0.5000)  8 Cu 2.47-2.71
Cu (0.5000, 0.0000, 0.5000)  8 Cu 2.47-2.48
Cu (0.5607, 0.2911, 0.5000)  8 Cu 2.47-2.71
Cu (0.6813, 0.8187, 0.2425)  7 Cu 2.38-2.54
Cu (0.6813, 0.8187, 0.7575)  7 Cu 2.38-2.54
Cu (0.7089, 0.5607, 0.5000)  8 Cu 2.47-2.71
Cu (0.7911, 0.0607, 0.5000)  8 Cu 2.47-2.71
Cu (0.8187, 0.3187, 0.2425)  7 Cu 2.38-2.54
Cu (0.8187, 0.3187, 0.7575)  7 Cu 2.38-2.54
Cu (0.9393, 0.7911, 0.5000)  8 Cu 2.47-2.71

## Properties
space group = P4/mbm (127)
total moment = 0.0 μB per formula unit



Short version: one), two), most stable first.



one) A geometry-optimized LiCuTc2 structure. Source: Alexandria, functional PBE.

a = 3.3024 Å, b = 3.7921 Å, c = 8.8357 Å
α = 90.00°, β = 90.00°, γ = 90.00°
Last column: nearest neighbours and their distance in Å.
Fractional positions:
Li (0.0000, 0.0000, 0.0000)  4 Li 2.51
Li (0.5000, 0.5000, 0.0000)  4 Li 2.51
Cu (0.0000, 0.0000, 0.5000)  4 Cu 2.51, 4 Tc 2.69
Cu (0.5000, 0.5000, 0.5000)  4 Cu 2.51, 4 Tc 2.69
Tc (0.0000, 0.5000, 0.2592)  4 Tc 2.51, 2 Cu 2.69
Tc (0.0000, 0.5000, 0.7408)  4 Tc 2.51, 2 Cu 2.69
Tc (0.5000, 0.0000, 0.2592)  4 Tc 2.51, 2 Cu 2.69
Tc (0.5000, 0.0000, 0.7408)  4 Tc 2.51, 2 Cu 2.69

## Properties
space group = Cmmm (65)
total moment = 0.0 μB per formula unit



two) A geometry-optimized LiCuTc2 structure. Source: Alexandria, functional PBE.

a = 5.9165 Å, b = 5.9165 Å, c = 5.9165 Å
α = 90.00°, β = 90.00°, γ = 90.00°
Last column: nearest neighbours and their distance in Å.
Fractional positions:
Li (0.0000, 0.0000, 0.0000)  8 Tc 2.56
Li (0.0000, 0.5000, 0.5000)  8 Tc 2.56
Li (0.5000, 0.0000, 0.5000)  8 Tc 2.56
Li (0.5000, 0.5000, 0.0000)  8 Tc 2.56
Cu (0.0000, 0.0000, 0.5000)  8 Tc 2.56
Cu (0.0000, 0.5000, 0.0000)  8 Tc 2.56
Cu (0.5000, 0.0000, 0.0000)  8 Tc 2.56
Cu (0.5000, 0.5000, 0.5000)  8 Tc 2.56
Tc (0.2500, 0.2500, 0.2500)  4 Li 2.56, 4 Cu 2.56
Tc (0.2500, 0.2500, 0.7500)  4 Li 2.56, 4 Cu 2.56
Tc (0.2500, 0.7500, 0.2500)  4 Li 2.56, 4 Cu 2.56
Tc (0.2500, 0.7500, 0.7500)  4 Li 2.56, 4 Cu 2.56
Tc (0.7500, 0.2500, 0.2500)  4 Li 2.56, 4 Cu 2.56
Tc (0.7500, 0.2500, 0.7500)  4 Li 2.56, 4 Cu 2.56
Tc (0.7500, 0.7500, 0.2500)  4 Li 2.56, 4 Cu 2.56
Tc (0.7500, 0.7500, 0.7500)  4 Li 2.56, 4 Cu 2.56

## Properties
space group = Fm-3m (225)
total moment = 0.0 μB per formula unit



three) A geometry-optimized LiCuTc2 structure. Source: Alexandria, functional PBE.

a = 3.5171 Å, b = 3.5171 Å, c = 18.9690 Å
α = 90.00°, β = 90.00°, γ = 90.00°
Last column: nearest neighbours and their distance in Å.
Fractional positions:
Li (0.0000, 0.0000, 0.0000)  4 Cu 2.49, 4 Tc 2.67
Li (0.0000, 0.5000, 0.2500)  4 Cu 2.49, 4 Tc 2.67
Li (0.5000, 0.0000, 0.7500)  4 Cu 2.49, 4 Tc 2.67
Li (0.5000, 0.5000, 0.5000)  4 Cu 2.49, 4 Tc 2.67
Cu (0.0000, 0.0000, 0.5000)  4 Li 2.49, 4 Tc 2.69
Cu (0.0000, 0.5000, 0.7500)  4 Li 2.49, 4 Tc 2.69
Cu (0.5000, 0.0000, 0.2500)  4 Li 2.49, 4 Tc 2.69
Cu (0.5000, 0.5000, 0.0000)  4 Li 2.49, 4 Tc 2.69
Tc (0.2404, 0.2500, 0.1250)  4 Tc 2.44-2.54, 2 Li 2.67, 2 Cu 2.69
Tc (0.2500, 0.7404, 0.3750)  4 Tc 2.44-2.54, 2 Li 2.67, 2 Cu 2.69
Tc (0.2500, 0.7596, 0.8750)  4 Tc 2.44-2.54, 2 Li 2.67, 2 Cu 2.69
Tc (0.2596, 0.2500, 0.6250)  4 Tc 2.44-2.54, 2 Li 2.67, 2 Cu 2.69
Tc (0.7404, 0.7500, 0.6250)  4 Tc 2.44-2.54, 2 Li 2.67, 2 Cu 2.69
Tc (0.7500, 0.2404, 0.8750)  4 Tc 2.44-2.54, 2 Li 2.67, 2 Cu 2.69
Tc (0.7500, 0.2596, 0.3750)  4 Tc 2.44-2.54, 2 Li 2.67, 2 Cu 2.69
Tc (0.7596, 0.7500, 0.1250)  4 Tc 2.44-2.54, 2 Li 2.67, 2 Cu 2.69

## Properties
space group = I-42d (122)
total moment = 0.0 μB per formula unit



Short version: one), three), two), most stable first.



one) A geometry-optimized LiCuTc2 structure. Source: Alexandria, functional PBE.

a = 4.2364 Å, b = 4.2364 Å, c = 5.9485 Å
α = 90.00°, β = 90.00°, γ = 90.00°
Last column: nearest neighbours and their distance in Å.
Fractional positions:
Li (0.0000, 0.0000, 0.0000)  4 Tc 2.59, 4 Cu 2.59
Li (0.5000, 0.5000, 0.5000)  4 Tc 2.59, 4 Cu 2.59
Cu (0.0000, 0.5000, 0.2500)  4 Li 2.59, 4 Tc 2.59
Cu (0.5000, 0.0000, 0.7500)  4 Li 2.59, 4 Tc 2.59
Tc (0.0000, 0.0000, 0.5000)  4 Tc 2.59, 4 Cu 2.59
Tc (0.0000, 0.5000, 0.7500)  4 Li 2.59, 4 Tc 2.59
Tc (0.5000, 0.0000, 0.2500)  4 Li 2.59, 4 Tc 2.59
Tc (0.5000, 0.5000, 0.0000)  4 Tc 2.59, 4 Cu 2.59

## Properties
space group = I-4m2 (119)
total moment = 0.0 μB per formula unit



two) A geometry-optimized LiCuTc2 structure. Source: Alexandria, functional PBE.

a = 3.2126 Å, b = 3.2126 Å, c = 5.0886 Å
α = 90.00°, β = 90.00°, γ = 90.00°
Last column: nearest neighbours and their distance in Å.
Fractional positions:
Li (0.0000, 0.0000, 0.0000)  2 Cu 2.54, 8 Tc 2.55
Cu (0.0000, 0.0000, 0.5000)  2 Li 2.54, 8 Tc 2.66
Tc (0.5000, 0.5000, 0.2264)  1 Tc 2.30, 4 Li 2.55
Tc (0.5000, 0.5000, 0.7736)  1 Tc 2.30, 4 Li 2.55

## Properties
space group = P4/mmm (123)
total moment = 0.0 μB per formula unit



Short version: one), two), most stable first.